First-principles (GGA-PBE) data for crystalline Fe2NiPt at its relaxed geometry, as listed in Alexandria.

```
data_Fe2NiPt
_chemical_formula_sum 'Fe2 Ni1 Pt1'
_symmetry_space_group_name_H-M 'P m m 2'
_symmetry_Int_Tables_number 25
_symmetry_space_group_name_Hall 'P 2 -2'
_cell_length_a 2.642
_cell_length_b 4.247
_cell_length_c 4.556
_cell_angle_alpha 90.00
_cell_angle_beta 90.00
_cell_angle_gamma 90.00
loop_
_atom_site_label
_atom_site_type_symbol
_atom_site_fract_x
_atom_site_fract_y
_atom_site_fract_z
_atom_site_occupancy
Fe1 Fe 0.000 0.000 0.000 1
Fe2 Fe 0.000 0.500 0.335 1
Ni1 Ni 0.500 0.500 0.857 1
Pt1 Pt 0.500 0.000 0.505 1
```

Computed properties:
Formation enthalpy at 0 K = -0.110 eV per atom



First-principles (GGA-PBE) data for crystalline FeNiPt at its relaxed geometry, as listed in Alexandria.

```
data_FeNiPt
_chemical_formula_sum 'Fe4 Ni4 Pt4'
_symmetry_space_group_name_H-M 'A m m 2'
_symmetry_Int_Tables_number 38
_symmetry_space_group_name_Hall 'A 2 -2'
_cell_length_a 3.782
_cell_length_b 3.692
_cell_length_c 11.223
_cell_angle_alpha 90.00
_cell_angle_beta 90.00
_cell_angle_gamma 90.00
loop_
_atom_site_label
_atom_site_type_symbol
_atom_site_fract_x
_atom_site_fract_y
_atom_site_fract_z
_atom_site_occupancy
Fe1 Fe 0.000 0.000 0.000 1
Fe2 Fe 0.500 0.000 0.172 1
Ni1 Ni 0.000 0.000 0.343 1
Ni2 Ni 0.500 0.000 0.506 1
Pt1 Pt 0.000 0.000 0.665 1
Pt2 Pt 0.500 0.000 0.842 1
```

Computed properties:
Formation enthalpy at 0 K = -0.176 eV per atom



First-principles (GGA-PBE) data for crystalline Fe4Ni7Pt at its relaxed geometry, as listed in Alexandria.

```
data_Fe4Ni7Pt
_chemical_formula_sum 'Fe4 Ni7 Pt1'
_symmetry_space_group_name_H-M 'P -1'
_symmetry_Int_Tables_number 2
_symmetry_space_group_name_Hall '-P 1'
_cell_length_a 4.415
_cell_length_b 5.099
_cell_length_c 6.725
_cell_angle_alpha 101.00
_cell_angle_beta 108.90
_cell_angle_gamma 90.10
loop_
_atom_site_label
_atom_site_type_symbol
_atom_site_fract_x
_atom_site_fract_y
_atom_site_fract_z
_atom_site_occupancy
Fe1 Fe 0.166 0.166 0.162 1
Fe2 Fe 0.325 0.577 0.830 1
Ni1 Ni 0.001 0.745 0.503 1
Ni2 Ni 0.167 0.661 0.161 1
Ni3 Ni 0.333 0.085 0.842 1
Ni4 Ni 0.500 0.500 0.500 1
Pt1 Pt 0.500 0.000 0.500 1
```

Computed properties:
Formation enthalpy at 0 K = -0.064 eV per atom



First-principles (GGA-PBE) data for crystalline Fe6Ni2Pt5 at its relaxed geometry, as listed in Alexandria.

```
data_Fe6Ni2Pt5
_chemical_formula_sum 'Fe12 Ni4 Pt10'
_symmetry_space_group_name_H-M 'P b a m'
_symmetry_Int_Tables_number 55
_symmetry_space_group_name_Hall '-P 2 2ab'
_cell_length_a 8.427
_cell_length_b 15.875
_cell_length_c 2.701
_cell_angle_alpha 90.00
_cell_angle_beta 90.00
_cell_angle_gamma 90.00
loop_
_atom_site_label
_atom_site_type_symbol
_atom_site_fract_x
_atom_site_fract_y
_atom_site_fract_z
_atom_site_occupancy
Fe1 Fe 0.116 0.094 0.000 1
Fe2 Fe 0.124 0.380 0.000 1
Fe3 Fe 0.130 0.650 0.500 1
Ni1 Ni 0.133 0.795 0.000 1
Pt1 Pt 0.000 0.500 0.500 1
Pt2 Pt 0.118 0.239 0.500 1
Pt3 Pt 0.148 0.952 0.500 1
```

Computed properties:
Formation enthalpy at 0 K = -0.047 eV per atom